# Hf3TiO

Hf3TiO after structural relaxation (PBE, Alexandria).

Lattice parameters (Å, degrees): 7.9628 7.9628 7.4278 93.09 93.09 22.88
Element x y z (fractional)
Hf (0.0665, 0.0665, 0.1669)
Hf (0.0969, 0.0969, 0.5771)
Hf (0.3206, 0.3206, 0.1001)
Hf (0.6794, 0.6794, 0.8999)
Hf (0.9031, 0.9031, 0.4229)
Hf (0.9335, 0.9335, 0.8331)
Ti (0.2908, 0.2908, 0.6577)
Ti (0.7092, 0.7092, 0.3423)
O (0.0715, 0.0715, 0.8747)
O (0.9285, 0.9285, 0.1253)

Properties
excess energy over the best structure of this formula in the dataset = 178 meV per atom
size of the total moment = 0.000 μB/f.u.
E_form (uncorrected) = -0.857 eV/atom
V = 183 Å³/cell

# Hf3TiO

Hf3TiO after structural relaxation (PBE, Alexandria).

Lattice parameters (Å, degrees): 4.4402 4.4402 4.4402 90.00 90.00 90.00
Element x y z (fractional)
Hf (0.0000, 0.0000, 0.5000)
Hf (0.0000, 0.5000, 0.0000)
Hf (0.5000, 0.0000, 0.0000)
Ti (0.5000, 0.5000, 0.5000)
O (0.0000, 0.0000, 0.0000)

Properties
excess energy over the best structure of this formula in the dataset = 0 meV per atom
size of the total moment = 0.000 μB/f.u.
E_form (uncorrected) = -1.035 eV/atom
V = 88 Å³/cell

# HfTiO3

HfTiO3 after structural relaxation (PBE, Alexandria).

Lattice parameters (Å, degrees): 3.8115 3.8115 3.8115 90.00 90.00 90.00
Element x y z (fractional)
Hf (0.0000, 0.0000, 0.0000)
Ti (0.5000, 0.5000, 0.5000)
O (0.0000, 0.5000, 0.5000)
O (0.5000, 0.0000, 0.5000)
O (0.5000, 0.5000, 0.0000)

Properties
size of the total moment = 0.001 μB/f.u.
E_form (uncorrected) = -2.119 eV/atom
V = 55 Å³/cell

Copy entry 3 word for word.
# HfTiO3

HfTiO3 after structural relaxation (PBE, Alexandria).

Lattice parameters (Å, degrees): 3.8115 3.8115 3.8115 90.00 90.00 90.00
Element x y z (fractional)
Hf (0.0000, 0.0000, 0.0000)
Ti (0.5000, 0.5000, 0.5000)
O (0.0000, 0.5000, 0.5000)
O (0.5000, 0.0000, 0.5000)
O (0.5000, 0.5000, 0.0000)

Properties
size of the total moment = 0.001 μB/f.u.
E_form (uncorrected) = -2.119 eV/atom
V = 55 Å³/cell